Density functional theory data (PBE) for a relaxed structure of Ac3Nd4In2.

Lattice parameters (Å, degrees): 5.7758 6.8202 10.1962 62.68 73.60 64.98
Closest atoms and distances in Å follow each position.
Sites, in units of the cell vectors:
Ac 0.5521 0.2256 0.6714  3 Ac 3.72-4.14, 7 Nd 3.74-3.88, 4 In 3.74-3.82
Ac 0.0000 0.0000 0.0000  2 In 3.52, 6 Nd 3.74-3.82
Ac 0.4479 0.7744 0.3286  3 Ac 3.72-4.14, 7 Nd 3.74-3.88, 4 In 3.74-3.82
Nd 0.3051 0.3709 0.0191  3 Nd 3.25-3.52, 1 In 3.31
Nd 0.8622 0.6632 0.6128  3 In 3.27-3.41, 2 Nd 3.52
Nd 0.1378 0.3368 0.3872  3 In 3.27-3.41, 2 Nd 3.52
Nd 0.6949 0.6291 0.9809  3 Nd 3.25-3.52, 1 In 3.31
In 0.7621 0.1729 0.3026  4 Nd 3.27-3.41, 1 Ac 3.52
In 0.2379 0.8271 0.6974  4 Nd 3.27-3.41, 1 Ac 3.52

Output
V: 321.4 Å³ per cell
energy of formation: -0.17 eV per atom
raw total energy: -38.385 eV/cell
crystal system: triclinic